Record 1
Here is a relaxed HgH2Se crystal from Alexandria via LeMat-Bulk. Energies are from GGA-PBE.

For the magnetic moment, the calculation gives 0.00 μB per formula unit. The value obtained for the energy above the lowest structure with this stoichiometry is 802 meV/atom.

Unit cell a=4.183 b=4.183 c=4.183 alpha=60.00 beta=60.00 gamma=60.00
Sites, in units of the cell vectors:
Hg1 0.000 0.000 0.000
H1 0.250 0.250 0.250
H2 0.750 0.750 0.750
Se1 0.500 0.500 0.500

Record 2
Here is a relaxed LaCe2Ag6 crystal from Alexandria via LeMat-Bulk. Energies are from GGA-PBE.

Its formation enthalpy at 0 K is -0.194 eV per atom. For the magnetic moment, the calculation gives 3.07 μB per formula unit.

Unit cell a=8.557 b=8.557 c=3.302 alpha=90.00 beta=90.00 gamma=120.00
Sites, in units of the cell vectors:
La1 0.000 0.000 0.000
Ce1 0.333 0.667 0.000
Ce2 0.667 0.333 0.000
Ag1 0.000 0.335 0.500
Ag2 0.000 0.665 0.500
Ag3 0.335 0.000 0.500
Ag4 0.335 0.335 0.500
Ag5 0.665 0.000 0.500
Ag6 0.665 0.665 0.500

Record 3
Here is a relaxed TcIr2Au crystal from Alexandria via LeMat-Bulk. Energies are from GGA-PBE.

Its formation enthalpy at 0 K is 0.573 eV per atom. For the magnetic moment, the calculation gives 0.90 μB per formula unit. The value obtained for the energy above the lowest structure with this stoichiometry is 551 meV/atom.

Unit cell a=4.455 b=4.455 c=4.455 alpha=60.00 beta=60.00 gamma=60.00
Sites, in units of the cell vectors:
Tc1 0.000 0.000 0.000
Ir1 0.250 0.250 0.250
Ir2 0.500 0.500 0.500
Au1 0.750 0.750 0.750

Record 4
Here is a relaxed Ac4IrPt2 crystal from Alexandria via LeMat-Bulk. Energies are from GGA-PBE.

Its formation enthalpy at 0 K is -0.886 eV per atom. For the magnetic moment, the calculation gives 0.00 μB per formula unit. The value obtained for the energy above the lowest structure with this stoichiometry is 0 meV/atom.

Unit cell a=8.252 b=8.252 c=7.620 alpha=117.48 beta=117.48 gamma=31.28
Sites, in units of the cell vectors:
Ac1 0.125 0.125 0.472
Ac2 0.372 0.372 0.051
Ac3 0.628 0.628 0.949
Ac4 0.875 0.875 0.528
Ir1 0.500 0.500 0.500
Pt1 0.241 0.241 0.239
Pt2 0.759 0.759 0.761